Density functional theory data (GGA+U) for a relaxed FeH2F crystal.

## Properties
* total magnetization: 3.00 μB/f.u.
* density: 3.43 g/cm3
* offset from the most stable computed form: 0.000 eV/atom
* N(E_F): 0.346 states/eV per cell

The structure in POSCAR format:
```
FeH2F
1.0
6.1358 0.0000 0.0000
0.0000 6.1358 0.0000
3.0679 3.0679 1.9769
H F Fe
4 2 2
direct
0.0025 0.6250 0.2500
0.7475 0.1250 0.2500
0.8750 0.9975 0.7500
0.3750 0.2525 0.7500
0.2500 0.7500 0.5000
0.5000 0.5000 0.0000
0.0000 0.0000 0.0000
0.7500 0.2500 0.5000
```